# 1
# AlTlZn2 (GGA-PBE, optimized geometry)
data_AlTlZn2
_chemical_formula_sum 'Al1 Tl1 Zn2'
_symmetry_space_group_name_H-M 'P 1 m 1'
_symmetry_Int_Tables_number 6
_symmetry_space_group_name_Hall 'P -2y'
_cell_length_a 3.2795
_cell_length_b 4.1305
_cell_length_c 6.2717
_cell_angle_alpha 90.00
_cell_angle_beta 103.98
_cell_angle_gamma 90.00
loop_
_atom_site_label
_atom_site_type_symbol
_atom_site_fract_x
_atom_site_fract_y
_atom_site_fract_z
Al1 Al 0.0000 0.0000 0.0000
Tl1 Tl 0.7088 0.5000 0.3753
Zn1 Zn 0.3249 0.0000 0.6214
Zn2 Zn 0.4477 0.5000 0.8914
# N(E_F) ... 2.49 states/eV/f.u.
# E_form ... 208.9 meV per atom
# Relative energy among the computed polymorphs ... 43 meV per atom
# Raw total energy ... -7.8 eV per formula unit
# Crystal system ... monoclinic

# 2
# AlTlZn (GGA-PBE, optimized geometry)
data_AlTlZn
_chemical_formula_sum 'Al2 Tl2 Zn2'
_symmetry_space_group_name_H-M 'P 1'
_symmetry_Int_Tables_number 1
_symmetry_space_group_name_Hall 'P 1'
_cell_length_a 3.1638
_cell_length_b 4.3184
_cell_length_c 10.0608
_cell_angle_alpha 82.18
_cell_angle_beta 88.94
_cell_angle_gamma 89.70
loop_
_atom_site_label
_atom_site_type_symbol
_atom_site_fract_x
_atom_site_fract_y
_atom_site_fract_z
Al1 Al 0.0000 0.0000 0.0000
Al2 Al 0.4915 0.7220 0.2235
Tl1 Tl 0.5034 0.0746 0.7272
Tl2 Tl 0.9906 0.6456 0.4961
Zn1 Zn 0.5016 0.5024 0.9795
Zn2 Zn 0.9902 0.2195 0.2441
# N(E_F) ... 1.07 states/eV/f.u.
# E_form ... 135.3 meV per atom
# Raw total energy ... -7.0 eV per formula unit
# Crystal system ... triclinic

# 3
# Al2TlZn (GGA-PBE, optimized geometry)
data_Al2TlZn
_chemical_formula_sum 'Al4 Tl2 Zn2'
_symmetry_space_group_name_H-M 'C m m m'
_symmetry_Int_Tables_number 65
_symmetry_space_group_name_Hall '-C 2 2'
_cell_length_a 5.7583
_cell_length_b 8.4522
_cell_length_c 3.3366
_cell_angle_alpha 90.00
_cell_angle_beta 90.00
_cell_angle_gamma 90.00
loop_
_atom_site_label
_atom_site_type_symbol
_atom_site_fract_x
_atom_site_fract_y
_atom_site_fract_z
Al1 Al 0.2500 0.2500 0.0000
Tl1 Tl 0.0000 0.0000 0.5000
Zn1 Zn 0.0000 0.5000 0.5000
# N(E_F) ... 1.25 states/eV/f.u.
# E_form ... 286.1 meV per atom
# Relative energy among the computed polymorphs ... 107 meV per atom
# Raw total energy ... -10.0 eV per formula unit
# Crystal system ... orthorhombic

# 4
# Al2TlZn (GGA-PBE, optimized geometry)
data_Al2TlZn
_chemical_formula_sum 'Al4 Tl2 Zn2'
_symmetry_space_group_name_H-M 'I -4 m 2'
_symmetry_Int_Tables_number 119
_symmetry_space_group_name_Hall 'I -4 -2'
_cell_length_a 4.2725
_cell_length_b 4.2725
_cell_length_c 8.8011
_cell_angle_alpha 90.00
_cell_angle_beta 90.00
_cell_angle_gamma 90.00
loop_
_atom_site_label
_atom_site_type_symbol
_atom_site_fract_x
_atom_site_fract_y
_atom_site_fract_z
Al1 Al 0.0000 0.0000 0.0000
Al2 Al 0.0000 0.5000 0.2500
Tl1 Tl 0.0000 0.5000 0.7500
Zn1 Zn 0.0000 0.0000 0.5000
# N(E_F) ... 1.77 states/eV/f.u.
# E_form ... 278.9 meV per atom
# Relative energy among the computed polymorphs ... 100 meV per atom
# Raw total energy ... -10.0 eV per formula unit
# Crystal system ... tetragonal

# 5
# AlTlZn2 (GGA-PBE, optimized geometry)
data_AlTlZn2
_chemical_formula_sum 'Al4 Tl4 Zn8'
_symmetry_space_group_name_H-M 'F m -3 m'
_symmetry_Int_Tables_number 225
_symmetry_space_group_name_Hall '-F 4 2 3'
_cell_length_a 6.8837
_cell_length_b 6.8837
_cell_length_c 6.8837
_cell_angle_alpha 90.00
_cell_angle_beta 90.00
_cell_angle_gamma 90.00
loop_
_atom_site_label
_atom_site_type_symbol
_atom_site_fract_x
_atom_site_fract_y
_atom_site_fract_z
Al1 Al 0.0000 0.0000 0.0000
Tl1 Tl 0.0000 0.0000 0.5000
Zn1 Zn 0.2500 0.2500 0.2500
# N(E_F) ... 1.53 states/eV/f.u.
# E_form ... 271.1 meV per atom
# Relative energy among the computed polymorphs ... 105 meV per atom
# Raw total energy ... -7.6 eV per formula unit
# Crystal system ... cubic

# 6
# Al2TlZn (GGA-PBE, optimized geometry)
data_Al2TlZn
_chemical_formula_sum 'Al4 Tl2 Zn2'
_symmetry_space_group_name_H-M 'I m m 2'
_symmetry_Int_Tables_number 44
_symmetry_space_group_name_Hall 'I 2 -2'
_cell_length_a 2.9466
_cell_length_b 5.3130
_cell_length_c 10.6244
_cell_angle_alpha 90.00
_cell_angle_beta 90.00
_cell_angle_gamma 90.00
loop_
_atom_site_label
_atom_site_type_symbol
_atom_site_fract_x
_atom_site_fract_y
_atom_site_fract_z
Al1 Al 0.0000 0.0000 0.0000
Al2 Al 0.0000 0.5000 0.2703
Tl1 Tl 0.0000 0.5000 0.7833
Zn1 Zn 0.0000 0.0000 0.5530
# N(E_F) ... 1.93 states/eV/f.u.
# E_form ... 270.5 meV per atom
# Relative energy among the computed polymorphs ... 91 meV per atom
# Raw total energy ... -10.0 eV per formula unit
# Crystal system ... orthorhombic

Repeat the third record exactly.
# Al2TlZn (GGA-PBE, optimized geometry)
data_Al2TlZn
_chemical_formula_sum 'Al4 Tl2 Zn2'
_symmetry_space_group_name_H-M 'C m m m'
_symmetry_Int_Tables_number 65
_symmetry_space_group_name_Hall '-C 2 2'
_cell_length_a 5.7583
_cell_length_b 8.4522
_cell_length_c 3.3366
_cell_angle_alpha 90.00
_cell_angle_beta 90.00
_cell_angle_gamma 90.00
loop_
_atom_site_label
_atom_site_type_symbol
_atom_site_fract_x
_atom_site_fract_y
_atom_site_fract_z
Al1 Al 0.2500 0.2500 0.0000
Tl1 Tl 0.0000 0.0000 0.5000
Zn1 Zn 0.0000 0.5000 0.5000
# N(E_F) ... 1.25 states/eV/f.u.
# E_form ... 286.1 meV per atom
# Relative energy among the computed polymorphs ... 107 meV per atom
# Raw total energy ... -10.0 eV per formula unit
# Crystal system ... orthorhombic

The highest raw total energy belongs to which entry?
AlTlZn

N(E_F) of number 4 (Al2TlZn)?
1.77 states/eV/f.u.

Which of these has the highest raw total energy?
AlTlZn